A geometry-optimized CdPtAu structure. Source: OQMD, functional PBE.

Computed properties:
volume = 21.3 Å³/atom
DFT formation energy = -11 kJ/mol of formula units
polymorph energy (0 for the lowest one) = 0.0 meV/atom
total energy = -3.4448 eV/atom
magnetization = 0.00 Bohr magnetons per cell

Cell: 6.3450 6.3450 6.3450 Å, 90.00 90.00 90.00°
Fractional coordinates of all 12 atoms:
Cd (0.0000, 0.0000, 0.0000)
Cd (0.0000, 0.5000, 0.5000)
Cd (0.5000, 0.0000, 0.5000)
Cd (0.5000, 0.5000, 0.0000)
Pt (0.2500, 0.2500, 0.7500)
Pt (0.2500, 0.7500, 0.2500)
Pt (0.7500, 0.2500, 0.2500)
Pt (0.7500, 0.7500, 0.7500)
Au (0.0000, 0.0000, 0.5000)
Au (0.0000, 0.5000, 0.0000)
Au (0.5000, 0.0000, 0.0000)
Au (0.5000, 0.5000, 0.5000)